{"formula": "Mn3GeSe6", "functional": "GGA-PBE", "state": "relaxed", "e_form_raw_mev_per_atom": -264, "e_tot_ev_per_atom": -5.567, "lattice_angstrom": [[5.039, -6.423, 0.000], [5.039, 6.423, 0.000], [0.000, 0.000, 6.597]], "species": ["Mn", "Mn", "Mn", "Mn", "Mn", "Mn", "Ge", "Ge", "Se", "Se", "Se", "Se", "Se", "Se", "Se", "Se", "Se", "Se", "Se", "Se"], "fractional_positions": [[0.098, 0.902, 0.500], [0.189, 0.423, 0.584], [0.423, 0.189, 0.084], [0.577, 0.811, 0.584], [0.811, 0.577, 0.084], [0.902, 0.098, 0.000], [0.329, 0.671, 0.133], [0.671, 0.329, 0.633], [0.051, 0.603, 0.332], [0.140, 0.195, 0.279], [0.195, 0.140, 0.779], [0.274, 0.726, 0.739], [0.397, 0.949, 0.332], [0.473, 0.527, 0.430], [0.527, 0.473, 0.930], [0.603, 0.051, 0.832], [0.726, 0.274, 0.239], [0.805, 0.860, 0.279], [0.860, 0.805, 0.779], [0.949, 0.397, 0.832]]}


{"formula": "MnGeSe2", "functional": "GGA-PBE", "state": "relaxed", "e_form_raw_mev_per_atom": 82, "e_tot_ev_per_atom": -5.107, "lattice_angstrom": [[2.028, 1.171, 7.642], [-2.028, 1.171, 7.642], [0.000, -2.342, 7.642]], "species": ["Mn", "Ge", "Se", "Se"], "fractional_positions": [[0.000, 0.000, 0.000], [0.500, 0.500, 0.500], [0.102, 0.102, 0.102], [0.898, 0.898, 0.898]]}


{"formula": "MnGeSe3", "functional": "GGA-PBE", "state": "relaxed", "e_form_raw_mev_per_atom": -241, "e_tot_ev_per_atom": -5.090, "lattice_angstrom": [[5.493, 0.000, 0.000], [0.000, 6.860, 0.000], [-5.196, 0.000, 14.388]], "species": ["Mn", "Mn", "Mn", "Mn", "Ge", "Ge", "Ge", "Ge", "Se", "Se", "Se", "Se", "Se", "Se", "Se", "Se", "Se", "Se", "Se", "Se"], "fractional_positions": [[0.074, 0.001, 0.247], [0.074, 0.499, 0.747], [0.926, 0.501, 0.253], [0.926, 0.999, 0.753], [0.198, 0.501, 0.107], [0.198, 0.999, 0.607], [0.802, 0.001, 0.393], [0.802, 0.499, 0.893], [0.134, 0.245, 0.369], [0.134, 0.255, 0.869], [0.134, 0.743, 0.869], [0.134, 0.757, 0.369], [0.487, 0.001, 0.230], [0.487, 0.499, 0.730], [0.513, 0.501, 0.270], [0.513, 0.999, 0.770], [0.866, 0.243, 0.631], [0.866, 0.257, 0.131], [0.866, 0.745, 0.131], [0.866, 0.755, 0.631]]}


{"formula": "MnGeSe3", "functional": "GGA-PBE", "state": "relaxed", "e_form_raw_mev_per_atom": 473, "e_tot_ev_per_atom": -4.375, "lattice_angstrom": [[4.981, 0.000, 0.000], [0.000, 4.981, 0.000], [0.000, 0.000, 4.981]], "species": ["Mn", "Ge", "Se", "Se", "Se"], "fractional_positions": [[0.000, 0.000, 0.000], [0.500, 0.500, 0.500], [0.000, 0.500, 0.500], [0.500, 0.000, 0.500], [0.500, 0.500, 0.000]]}


{"formula": "MnGe6Se8", "functional": "GGA-PBE", "state": "relaxed", "e_form_raw_mev_per_atom": -223, "e_tot_ev_per_atom": -4.540, "lattice_angstrom": [[4.589, 2.649, 5.492], [-4.589, 2.649, 5.492], [0.000, -5.299, 5.492]], "species": ["Mn", "Ge", "Ge", "Ge", "Ge", "Ge", "Ge", "Se", "Se", "Se", "Se", "Se", "Se", "Se", "Se"], "fractional_positions": [[0.000, 0.000, 0.000], [0.119, 0.366, 0.613], [0.366, 0.613, 0.119], [0.387, 0.881, 0.634], [0.613, 0.119, 0.366], [0.634, 0.387, 0.881], [0.881, 0.634, 0.387], [0.114, 0.843, 0.300], [0.157, 0.700, 0.886], [0.291, 0.291, 0.291], [0.300, 0.114, 0.843], [0.700, 0.886, 0.157], [0.709, 0.709, 0.709], [0.843, 0.300, 0.114], [0.886, 0.157, 0.700]]}


{"formula": "MnGeSe3", "functional": "GGA-PBE", "state": "relaxed", "e_form_raw_mev_per_atom": 375, "e_tot_ev_per_atom": -4.474, "lattice_angstrom": [[4.719, 0.000, 0.000], [0.000, 4.719, 0.000], [0.000, 0.000, 4.719]], "species": ["Mn", "Ge", "Se", "Se", "Se"], "fractional_positions": [[0.000, 0.000, 0.000], [0.500, 0.500, 0.500], [0.000, 0.000, 0.500], [0.000, 0.500, 0.000], [0.500, 0.000, 0.000]]}


{"formula": "MnGeSe2", "functional": "GGA-PBE", "state": "relaxed", "e_form_raw_mev_per_atom": -159, "e_tot_ev_per_atom": -5.348, "lattice_angstrom": [[1.695, 0.979, 8.515], [-1.695, 0.979, 8.515], [0.000, -1.957, 8.515]], "species": ["Mn", "Ge", "Se", "Se"], "fractional_positions": [[0.000, 0.000, 0.000], [0.500, 0.500, 0.500], [0.390, 0.390, 0.390], [0.610, 0.610, 0.610]]}


{"formula": "MnGeSe2", "functional": "GGA-PBE", "state": "relaxed", "e_form_raw_mev_per_atom": 46, "e_tot_ev_per_atom": -5.143, "lattice_angstrom": [[3.585, 0.000, 0.000], [0.000, 3.564, 0.000], [-0.016, 0.000, 6.464]], "species": ["Mn", "Ge", "Se", "Se"], "fractional_positions": [[0.000, 0.000, 0.000], [0.500, 0.500, 0.002], [0.502, 0.000, 0.299], [0.999, 0.500, 0.704]]}